Material: BaMnCd
Method: DFT, GGA-PBE
State: optimized geometry

Geometry as POSCAR:
```
BaMnCd
1.0
7.779 0.000 0.000
0.000 7.779 0.000
0.000 0.000 7.779
Ba Mn Cd
4 4 4
Direct
0.000 0.000 0.000
0.000 0.500 0.500
0.500 0.000 0.500
0.500 0.500 0.000
0.250 0.250 0.250
0.250 0.750 0.750
0.750 0.250 0.750
0.750 0.750 0.250
0.250 0.250 0.750
0.250 0.750 0.250
0.750 0.250 0.250
0.750 0.750 0.750
```

- ρ (kg/m3) = 4300
- space group = No. 216
- energy of formation (eV per formula unit) = 2.4



Material: BaMn3Cd
Method: DFT, GGA-PBE
State: optimized geometry

Geometry as POSCAR:
```
BaMn3Cd
1.0
5.448 0.000 0.000
0.000 5.448 0.000
0.000 0.000 5.448
Ba Mn Cd
1 3 1
Direct
0.000 0.000 0.000
0.000 0.000 0.500
0.000 0.500 0.000
0.500 0.000 0.000
0.500 0.500 0.500
```

- ρ (kg/m3) = 4258
- offset from the most stable computed form (meV per atom) = 1031
- space group = No. 221
- energy of formation (eV per formula unit) = 9.5



Material: BaMnCd2
Method: DFT, GGA-PBE
State: optimized geometry

Geometry as POSCAR:
```
BaMnCd2
1.0
5.442 0.000 0.000
0.000 5.442 0.000
0.000 0.000 19.071
Ba Mn Cd
4 4 8
Direct
0.000 0.000 0.000
0.000 0.500 0.250
0.500 0.000 0.750
0.500 0.500 0.500
0.000 0.000 0.500
0.000 0.500 0.750
0.500 0.000 0.250
0.500 0.500 0.000
0.057 0.250 0.625
0.250 0.557 0.875
0.250 0.943 0.375
0.443 0.250 0.125
0.557 0.750 0.125
0.750 0.057 0.375
0.750 0.443 0.875
0.943 0.750 0.625
```

- ρ (kg/m3) = 4905
- space group = No. 122
- energy of formation (eV per formula unit) = 1.1



Material: BaMnCd2
Method: DFT, GGA-PBE
State: optimized geometry

Geometry as POSCAR:
```
BaMnCd2
1.0
7.680 0.000 0.000
0.000 7.680 0.000
0.000 0.000 7.680
Ba Mn Cd
4 4 8
Direct
0.000 0.000 0.000
0.000 0.500 0.500
0.500 0.000 0.500
0.500 0.500 0.000
0.000 0.000 0.500
0.000 0.500 0.000
0.500 0.000 0.000
0.500 0.500 0.500
0.250 0.250 0.250
0.250 0.250 0.750
0.250 0.750 0.250
0.250 0.750 0.750
0.750 0.250 0.250
0.750 0.250 0.750
0.750 0.750 0.250
0.750 0.750 0.750
```

- ρ (kg/m3) = 6116
- space group = No. 225
- energy of formation (eV per formula unit) = 0.8



Material: Ba2MnCd
Method: DFT, GGA-PBE
State: optimized geometry

Geometry as POSCAR:
```
Ba2MnCd
1.0
4.959 0.000 0.000
0.000 5.033 0.000
0.000 0.000 12.559
Ba Mn Cd
4 2 2
Direct
0.000 0.000 0.000
0.000 0.500 0.500
0.500 0.000 0.290
0.500 0.500 0.790
0.500 0.000 0.595
0.500 0.500 0.095
0.000 0.000 0.704
0.000 0.500 0.204
```

- ρ (kg/m3) = 4682
- space group = No. 38
- energy of formation (eV per formula unit) = 0.7



Material: BaMn2Cd
Method: DFT, GGA-PBE
State: optimized geometry

Geometry as POSCAR:
```
BaMn2Cd
1.0
4.745 0.000 0.000
0.000 4.773 0.000
0.000 0.000 4.784
Ba Mn Cd
1 2 1
Direct
0.000 0.000 0.000
0.500 0.000 0.500
0.500 0.500 0.000
0.000 0.500 0.500
```

- ρ (kg/m3) = 5512
- space group = No. 47
- energy of formation (eV per formula unit) = 2.8



Material: BaMnCd2
Method: DFT, GGA-PBE
State: optimized geometry

Geometry as POSCAR:
```
BaMnCd2
1.0
3.597 0.000 0.000
0.000 3.597 0.000
0.000 0.000 8.147
Ba Mn Cd
1 1 2
Direct
0.000 0.000 0.000
0.000 0.000 0.500
0.500 0.500 0.316
0.500 0.500 0.684
```

- ρ (kg/m3) = 6570
- space group = No. 123
- energy of formation (eV per formula unit) = 0.4



Material: Ba2MnCd
Method: DFT, GGA-PBE
State: optimized geometry

Geometry as POSCAR:
```
Ba2MnCd
1.0
4.171 0.000 0.000
0.000 4.219 0.000
0.000 0.000 8.328
Ba Mn Cd
2 1 1
Direct
0.000 0.000 0.242
0.000 0.000 0.758
0.500 0.500 0.000
0.500 0.500 0.500
```

- ρ (kg/m3) = 5008
- space group = No. 47
- energy of formation (eV per formula unit) = 0.7



Material: BaMnCd2
Method: DFT, GGA-PBE
State: optimized geometry

Geometry as POSCAR:
```
BaMnCd2
1.0
8.366 0.000 0.000
0.000 4.828 0.000
-2.773 0.000 6.034
Ba Mn Cd
2 2 4
Direct
0.000 0.000 0.000
0.500 0.500 0.000
0.000 0.500 0.500
0.500 0.000 0.500
0.199 0.000 0.596
0.301 0.500 0.404
0.699 0.500 0.596
0.801 0.000 0.404
```

- ρ (kg/m3) = 5683
- space group = No. 12
- energy of formation (eV per formula unit) = 0.2



Material: BaMn2Cd
Method: DFT, GGA-PBE
State: optimized geometry

Geometry as POSCAR:
```
BaMn2Cd
1.0
8.217 0.000 0.000
0.000 4.753 0.000
-2.749 0.000 5.756
Ba Mn Cd
2 4 2
Direct
0.000 0.000 0.000
0.500 0.500 0.000
0.195 0.000 0.585
0.305 0.500 0.415
0.695 0.500 0.585
0.805 0.000 0.415
0.000 0.500 0.500
0.500 0.000 0.500
```

- ρ (kg/m3) = 5313
- space group = No. 12
- energy of formation (eV per formula unit) = 1.7



Material: Ba2MnCd
Method: DFT, GGA-PBE
State: optimized geometry

Geometry as POSCAR:
```
Ba2MnCd
1.0
5.931 0.000 0.000
0.000 5.931 0.000
0.000 0.000 4.181
Ba Mn Cd
2 1 1
Direct
0.000 0.500 0.000
0.500 0.000 0.000
0.000 0.000 0.500
0.500 0.500 0.500
```

- ρ (kg/m3) = 4990
- space group = No. 123
- energy of formation (eV per formula unit) = 0.8



Material: BaMn2Cd
Method: DFT, GGA-PBE
State: optimized geometry

Geometry as POSCAR:
```
BaMn2Cd
1.0
3.538 0.000 0.000
0.000 5.659 0.000
0.000 0.000 10.420
Ba Mn Cd
2 4 2
Direct
0.000 0.000 0.000
0.500 0.500 0.500
0.000 0.500 0.217
0.000 0.500 0.783
0.500 0.000 0.283
0.500 0.000 0.717
0.000 0.000 0.500
0.500 0.500 0.000
```

- ρ (kg/m3) = 5725
- space group = No. 71
- energy of formation (eV per formula unit) = 2.7